! BeSeS, relaxed, DFT PBE; values from VASP
! crystal system: triclinic
! spin magnetization: 0.0 μB per cell
! VASP energy: -4.115 eV per atom
! formation energy (no corrections): -0.336 eV per atom
&SYSTEM
  ibrav = 0, nat = 6, ntyp = 3
/
ATOMIC_SPECIES
Be 9.01 Be.upf
Se 78.96 Se.upf
S 32.06 S.upf
ATOMIC_POSITIONS crystal
Be 0.001 0.450 0.348
Be 0.999 0.550 0.652
Se 0.497 0.660 0.863
Se 0.503 0.340 0.137
S 0.004 0.241 0.631
S 0.996 0.759 0.369
CELL_PARAMETERS angstrom
2.985 0.000 0.000
0.044 6.448 0.000
0.001 1.842 6.593

! RbLiHgF6, relaxed, DFT PBE; values from VASP
! crystal system: trigonal
! spin magnetization: 2.0 μB per cell
! VASP energy: -3.417 eV per atom
! formation energy (no corrections): -1.816 eV per atom
&SYSTEM
  ibrav = 0, nat = 9, ntyp = 4
/
ATOMIC_SPECIES
Rb 85.47 Rb.upf
Li 6.94 Li.upf
Hg 200.59 Hg.upf
F 19.00 F.upf
ATOMIC_POSITIONS crystal
Rb 0.000 0.000 0.000
Li 0.333 0.667 0.500
Hg 0.667 0.333 0.500
F 0.007 0.378 0.690
F 0.007 0.629 0.310
F 0.371 0.378 0.310
F 0.371 0.993 0.690
F 0.622 0.629 0.690
F 0.622 0.993 0.310
CELL_PARAMETERS angstrom
5.557 0.000 0.000
-2.779 4.813 0.000
0.000 0.000 6.158

! Mg2NbVP, relaxed, DFT PBE; values from VASP
! crystal system: tetragonal
! ΔH_f (0 K): 1.258 eV/atom
! spin magnetization: 0.0 μB per cell
! VASP energy: -4.299 eV per atom
&SYSTEM
  ibrav = 0, nat = 5, ntyp = 4
/
ATOMIC_SPECIES
Mg 24.30 Mg.upf
Nb 92.91 Nb.upf
V 50.94 V.upf
P 30.97 P.upf
ATOMIC_POSITIONS crystal
Mg 0.000 0.500 0.000
Mg 0.500 0.000 0.000
Nb 0.000 0.000 0.000
V 0.500 0.500 0.500
P 0.000 0.000 0.500
CELL_PARAMETERS angstrom
5.159 0.000 0.000
0.000 5.159 0.000
0.000 0.000 4.674

! Pr2SmHg6, relaxed, DFT PBE; values from VASP
! crystal system: hexagonal
! ΔH_f (0 K): -0.430 eV/atom
! spin magnetization: 0.5 μB per cell
! VASP energy: -2.218 eV per atom
&SYSTEM
  ibrav = 0, nat = 9, ntyp = 3
/
ATOMIC_SPECIES
Pr 140.91 Pr.upf
Sm 150.36 Sm.upf
Hg 200.59 Hg.upf
ATOMIC_POSITIONS crystal
Pr 0.333 0.667 0.000
Pr 0.667 0.333 0.000
Sm 0.000 0.000 0.000
Hg 0.000 0.332 0.500
Hg 0.000 0.668 0.500
Hg 0.332 0.000 0.500
Hg 0.332 0.332 0.500
Hg 0.668 0.000 0.500
Hg 0.668 0.668 0.500
CELL_PARAMETERS angstrom
8.766 0.000 0.000
-4.383 7.592 0.000
0.000 0.000 3.500

! La2CeS4, relaxed, DFT PBE; values from VASP
! crystal system: orthorhombic
! spin magnetization: 2.5 μB per cell
! VASP energy: -6.696 eV per atom
! formation energy (no corrections): -2.082 eV per atom
&SYSTEM
  ibrav = 0, nat = 14, ntyp = 3
/
ATOMIC_SPECIES
La 138.91 La.upf
Ce 140.12 Ce.upf
S 32.06 S.upf
ATOMIC_POSITIONS crystal
La 0.131 0.869 0.571
La 0.131 0.869 0.929
La 0.869 0.131 0.071
La 0.869 0.131 0.429
Ce 0.376 0.624 0.750
Ce 0.624 0.376 0.250
S 0.023 0.977 0.750
S 0.224 0.776 0.124
S 0.224 0.776 0.376
S 0.500 0.500 0.000
S 0.500 0.500 0.500
S 0.776 0.224 0.624
S 0.776 0.224 0.876
S 0.977 0.023 0.250
CELL_PARAMETERS angstrom
2.004 -6.897 0.000
2.004 6.897 0.000
0.000 0.000 13.559

! Nd6SnP2Br3, relaxed, DFT PBE; values from VASP
! crystal system: monoclinic
! spin magnetization: 0.0 μB per cell
! VASP energy: -5.353 eV per atom
! formation energy (no corrections): -1.316 eV per atom
&SYSTEM
  ibrav = 0, nat = 12, ntyp = 4
/
ATOMIC_SPECIES
Nd 144.24 Nd.upf
Sn 118.71 Sn.upf
P 30.97 P.upf
Br 79.90 Br.upf
ATOMIC_POSITIONS crystal
Nd 0.018 0.018 0.253
Nd 0.322 0.322 0.441
Nd 0.334 0.334 0.876
Nd 0.666 0.666 0.124
Nd 0.678 0.678 0.559
Nd 0.982 0.982 0.747
Sn 0.500 0.500 0.000
P 0.170 0.170 0.340
P 0.830 0.830 0.660
Br 0.165 0.165 0.834
Br 0.500 0.500 0.500
Br 0.835 0.835 0.166
CELL_PARAMETERS angstrom
9.590 -2.133 0.000
9.590 2.133 0.000
-2.320 0.000 8.519